(w)
A relaxed structure of OsPb3F, computed with PBE.

Cell: 4.9045 4.9045 4.9045 Å, 90.00 90.00 90.00°
Positions (direct):
Os  0.5000  0.5000  0.5000
Pb  0.0000  0.5000  0.0000
Pb  0.0000  0.0000  0.5000
Pb  0.5000  0.0000  0.0000
F  0.0000  0.0000  0.0000

## Properties
total magnetization: 0.00 Bohr magnetons per cell
calculated density: 11694 kg/m³
space group: Pm-3m, No. 221

***

(x)
A relaxed structure of OsPb3F, computed with PBE.

Cell: 5.2937 5.2937 5.2937 Å, 90.00 90.00 90.00°
Positions (direct):
Pb  0.0000  0.5000  0.0000
Pb  0.5000  0.0000  0.0000
Pb  0.0000  0.0000  0.5000
Os  0.0000  0.0000  0.0000
F  0.5000  0.5000  0.5000

## Properties
total magnetization: 0.00 Bohr magnetons per cell
calculated density: 9300 kg/m³
space group: Pm-3m, No. 221

***

In terms of stability, (x) leads; the second structure lies 440 meV/atom higher.

***

(w)
A relaxed structure of OsPd2F, computed with PBE.

Cell: 4.3204 4.3204 4.3204 Å, 60.00 60.00 60.00°
Positions (direct):
Pd  0.2500  0.2500  0.2500
Pd  0.7500  0.7500  0.7500
Os  0.5000  0.5000  0.5000
F  0.0000  0.0000  0.0000

## Properties
total magnetization: 0.67 Bohr magnetons per cell
calculated density: 12291 kg/m³
space group: Fm-3m, No. 225

***

(x)
A relaxed structure of OsPd2F, computed with PBE.

Cell: 6.6448 6.6448 5.4590 Å, 52.51 52.51 90.00°
Positions (direct):
Pd  0.8750  0.8525  0.7500
Pd  0.6025  0.1250  0.2500
Pd  0.3750  0.3975  0.7500
Pd  0.1475  0.6250  0.2500
F  0.2500  0.7500  0.5000
F  0.5000  0.5000  0.0000
Os  0.0000  0.0000  0.0000
Os  0.7500  0.2500  0.5000

## Properties
total magnetization: 6.05 Bohr magnetons per cell
calculated density: 11423 kg/m³
space group: I-42d, No. 122

***

In terms of stability, (w) leads; the second structure lies 80 meV/atom higher.

***

(w)
A relaxed structure of Pm2OsF, computed with PBE.

Cell: 3.9909 3.9909 7.0075 Å, 73.46 73.46 60.00°
Positions (direct):
Pm  0.2519  0.2519  0.2443
Pm  0.7481  0.7481  0.7557
F  0.5000  0.5000  0.5000
Os  0.0000  0.0000  0.0000

## Properties
total magnetization: 0.00 Bohr magnetons per cell
calculated density: 9082 kg/m³
space group: R-3m, No. 166

***

(x)
A relaxed structure of Pm2OsF, computed with PBE.

Cell: 3.3265 3.3265 7.5120 Å, 90.00 90.00 90.00°
Positions (direct):
Os  0.5000  0.5000  0.0000
Pm  0.0000  0.0000  0.2365
Pm  0.0000  0.0000  0.7635
F  0.5000  0.5000  0.5000

## Properties
total magnetization: 0.00 Bohr magnetons per cell
calculated density: 9973 kg/m³
space group: P4/mmm, No. 123

***

In terms of stability, (x) leads; the second structure lies 31 meV/atom higher.

***

(w)
A relaxed structure of OsPt2F, computed with PBE.

Cell: 6.6497 6.6497 5.4646 Å, 52.52 52.52 90.00°
Positions (direct):
Os  0.7500  0.2500  0.5000
Os  0.0000  0.0000  0.0000
Pt  0.3750  0.3851  0.7500
Pt  0.8750  0.8649  0.7500
Pt  0.6149  0.1250  0.2500
Pt  0.1351  0.6250  0.2500
F  0.2500  0.7500  0.5000
F  0.5000  0.5000  0.0000

## Properties
total magnetization: 1.47 Bohr magnetons per cell
calculated density: 16168 kg/m³
space group: I-42d, No. 122

***

(x)
A relaxed structure of OsPt2F, computed with PBE.

Cell: 4.3311 4.3311 4.3311 Å, 60.00 60.00 60.00°
Positions (direct):
F  0.0000  0.0000  0.0000
Pt  0.2500  0.2500  0.2500
Pt  0.7500  0.7500  0.7500
Os  0.5000  0.5000  0.5000

## Properties
total magnetization: 0.00 Bohr magnetons per cell
calculated density: 17325 kg/m³
space group: Fm-3m, No. 225

***

In terms of stability, (x) leads; the second structure lies 194 meV/atom higher.

***

(w)
A relaxed structure of OsPtF2, computed with PBE.

Cell: 7.2717 7.2717 5.6869 Å, 50.26 50.26 90.00°
Positions (direct):
F  0.8750  0.7530  0.7500
F  0.2470  0.6250  0.2500
F  0.3750  0.4970  0.7500
F  0.5030  0.1250  0.2500
Os  0.5000  0.5000  0.0000
Os  0.2500  0.7500  0.5000
Pt  0.7500  0.2500  0.5000
Pt  0.0000  0.0000  0.0000

## Properties
total magnetization: 0.00 Bohr magnetons per cell
calculated density: 10943 kg/m³
space group: I-42d, No. 122

***

(x)
A relaxed structure of OsPtF2, computed with PBE.

Cell: 8.5416 8.5416 8.5416 Å, 18.16 18.16 18.16°
Positions (direct):
F  0.0797  0.0797  0.0797
F  0.9203  0.9203  0.9203
Os  0.5000  0.5000  0.5000
Pt  0.0000  0.0000  0.0000

## Properties
total magnetization: 1.17 Bohr magnetons per cell
calculated density: 13301 kg/m³
space group: R-3m, No. 166

***

In terms of stability, (x) leads; the second structure lies 391 meV/atom higher.

***

(w)
A relaxed structure of OsPtF3, computed with PBE.

Cell: 4.3457 4.3457 4.3457 Å, 90.00 90.00 90.00°
Positions (direct):
F  0.0000  0.0000  0.5000
F  0.5000  0.0000  0.0000
F  0.0000  0.5000  0.0000
Os  0.5000  0.5000  0.5000
Pt  0.0000  0.0000  0.0000

## Properties
total magnetization: 4.74 Bohr magnetons per cell
calculated density: 8949 kg/m³
space group: Pm-3m, No. 221

***

(x)
A relaxed structure of OsPtF3, computed with PBE.

Cell: 4.1624 4.1624 4.1624 Å, 90.00 90.00 90.00°
Positions (direct):
F  0.0000  0.5000  0.0000
F  0.0000  0.0000  0.5000
F  0.5000  0.0000  0.0000
Os  0.0000  0.0000  0.0000
Pt  0.5000  0.5000  0.5000

## Properties
total magnetization: 1.69 Bohr magnetons per cell
calculated density: 10184 kg/m³
space group: Pm-3m, No. 221

***

In terms of stability, (x) leads; the second structure lies 395 meV/atom higher.

***

(w)
A relaxed structure of Rb2OsF7, computed with PBE.

Cell: 6.5841 7.8366 8.3540 Å, 80.93 66.79 65.16°
Positions (direct):
F  0.6486  0.2500  0.7500
F  0.7836  0.5219  0.8127
F  0.1247  0.2413  0.9015
F  0.7325  0.7413  0.4015
F  0.3514  0.7500  0.2500
F  0.7748  0.1896  0.9835
F  0.2675  0.2587  0.5985
F  0.9479  0.3104  0.5165
F  0.2252  0.8104  0.0165
F  0.2164  0.4781  0.1873
F  0.8818  0.0219  0.3127
F  0.1182  0.9781  0.6873
F  0.8753  0.7587  0.0985
F  0.0521  0.6896  0.4835
Rb  0.2435  0.5777  0.7680
Rb  0.7565  0.4223  0.2320
Rb  0.4108  0.0777  0.2680
Rb  0.5892  0.9223  0.7320
Os  0.0496  0.7500  0.2500
Os  0.9504  0.2500  0.7500

## Properties
total magnetization: 2.01 Bohr magnetons per cell
calculated density: 4565 kg/m³
space group: C2/c, No. 15

***

(x)
A relaxed structure of Rb2OsF7, computed with PBE.

Cell: 6.5515 6.5515 6.5513 Å, 60.00 60.00 90.00°
Positions (direct):
F  0.2083  0.2083  0.5833
F  0.7917  0.2083  0.0000
F  0.7917  0.7917  0.0000
F  0.7917  0.7917  0.4167
F  0.2083  0.7917  0.0000
F  0.2083  0.2083  0.0000
F  0.5000  0.5000  0.0000
Rb  0.7500  0.2500  0.5000
Rb  0.2500  0.7500  0.5000
Os  0.0000  0.0000  0.0000

## Properties
total magnetization: 3.00 Bohr magnetons per cell
calculated density: 4127 kg/m³
space group: Fm-3m, No. 225

***

In terms of stability, (w) leads; the second structure lies 136 meV/atom higher.

***

(w)
A relaxed structure of RbOs2F, computed with PBE.

Cell: 3.5279 3.5279 16.9326 Å, 84.02 84.02 90.00°
Positions (direct):
Os  0.8750  0.8871  0.7500
Os  0.3750  0.3629  0.7500
Os  0.6371  0.1250  0.2500
Os  0.1129  0.6250  0.2500
F  0.5000  0.5000  0.0000
F  0.2500  0.7500  0.5000
Rb  0.7500  0.2500  0.5000
Rb  0.0000  0.0000  0.0000

## Properties
total magnetization: 0.00 Bohr magnetons per cell
calculated density: 7726 kg/m³
space group: I-42d, No. 122

***

(x)
A relaxed structure of RbOs2F, computed with PBE.

Cell: 4.7543 4.7543 4.7543 Å, 60.00 60.00 60.00°
Positions (direct):
Os  0.7500  0.7500  0.7500
Os  0.2500  0.2500  0.2500
F  0.0000  0.0000  0.0000
Rb  0.5000  0.5000  0.5000

## Properties
total magnetization: 4.69 Bohr magnetons per cell
calculated density: 10597 kg/m³
space group: Fm-3m, No. 225

***

In terms of stability, (w) leads; the second structure lies 2241 meV/atom higher.